A relaxed structure of KAcMoO4, computed with PBE with a Hubbard U.

```
KAcMoO4
1.0
6.684 0.000 0.000
-3.342 6.237 -0.766
0.000 -4.047 6.656
O Mo Ac K
8 2 2 2
direct
0.748 0.495 0.323
0.682 0.917 0.709
0.252 0.505 0.677
0.235 0.917 0.709
0.318 0.083 0.291
0.748 0.495 0.672
0.765 0.083 0.291
0.252 0.505 0.328
0.500 0.500 0.500
0.000 0.500 0.500
0.500 0.000 0.500
0.500 0.000 0.000
0.131 0.261 0.881
0.869 0.739 0.119
```

Properties
The symmetry is Imma, No. 74. As for the total DFT energy (no corrections): -6.81 eV per atom. The calculation puts the total magnetization at 2.0 μB per formula unit.